1.
A plane-wave DFT calculation with PBE was carried out for crystalline Ac3PaTc2N6 at its relaxed geometry.

abc: 6.052 6.052 6.930
angles: 90.00 90.00 120.00
Sites, in units of the cell vectors:
N 0.171 0.341 0.299
N 0.171 0.829 0.299
N 0.829 0.171 0.701
N 0.341 0.171 0.701
N 0.829 0.659 0.701
N 0.659 0.829 0.299
Ac 0.000 0.000 0.000
Ac 0.333 0.667 0.682
Ac 0.667 0.333 0.318
Pa 0.000 0.000 0.500
Tc 0.667 0.333 0.816
Tc 0.333 0.667 0.184

Space group: P-3m1, No. 164

---

2.
A plane-wave DFT calculation with PBE was carried out for crystalline Ac2PaTc2N6 at its relaxed geometry.

abc: 5.851 5.851 6.997
angles: 65.28 65.28 60.00
Sites, in units of the cell vectors:
N 0.772 0.250 0.727
N 0.750 0.750 0.273
N 0.250 0.250 0.727
N 0.750 0.228 0.273
N 0.250 0.772 0.727
N 0.228 0.750 0.273
Tc 0.397 0.397 0.810
Tc 0.603 0.603 0.190
Pa 0.000 0.000 0.000
Ac 0.212 0.212 0.363
Ac 0.788 0.788 0.637

Space group: R-3m, No. 166

---

3.
A plane-wave DFT calculation with PBE was carried out for crystalline Ac2PaTe2N2 at its relaxed geometry.

abc: 4.196 6.733 7.540
angles: 69.76 73.84 71.85
Sites, in units of the cell vectors:
N 0.179 0.706 0.935
N 0.821 0.294 0.065
Te 0.431 0.799 0.340
Te 0.569 0.201 0.660
Ac 0.809 0.625 0.757
Ac 0.191 0.375 0.243
Pa 0.000 0.000 0.000

Space group: C2/m, No. 12

---

4.
A plane-wave DFT calculation with PBE was carried out for crystalline AcPaTe2N at its relaxed geometry.

abc: 4.177 4.177 17.254
angles: 90.00 90.00 90.00
Site moments in Bohr magnetons follow the coordinates.
Sites, in units of the cell vectors:
Ac 0.500 0.000 0.148  0.02
Ac 0.000 0.500 0.852  0.02
Te 0.000 0.500 0.664  -0.02
Te 0.500 0.000 0.336  -0.02
Te 0.000 0.500 0.075  0.00
Te 0.500 0.000 0.925  0.00
N 0.000 0.000 0.500  -0.04
N 0.500 0.500 0.500  -0.04
Pa 0.000 0.500 0.439  0.65
Pa 0.500 0.000 0.561  0.65

Space group: P4/nmm, No. 129

---

5.
A plane-wave DFT calculation with PBE was carried out for crystalline AcPaTeN2 at its relaxed geometry.

abc: 4.076 4.076 7.271
angles: 106.28 106.28 90.00
Sites, in units of the cell vectors:
N 0.236 0.736 0.472
N 0.736 0.236 0.472
Ac 0.848 0.848 0.695
Te 0.512 0.512 0.024
Pa 0.168 0.168 0.336

Space group: I4mm, No. 107

---

6.
A plane-wave DFT calculation with PBE was carried out for crystalline AcTh3Pa4N12 at its relaxed geometry.

abc: 7.507 7.507 7.507
angles: 109.47 109.47 109.47
Sites, in units of the cell vectors:
Pa 0.500 0.500 0.500
Pa 0.000 0.500 0.000
Pa 0.500 0.000 0.000
Pa 0.000 0.000 0.500
N 0.111 0.302 0.809
N 0.889 0.698 0.191
N 0.191 0.493 0.302
N 0.809 0.111 0.302
N 0.191 0.889 0.698
N 0.302 0.191 0.493
N 0.698 0.809 0.507
N 0.809 0.507 0.698
N 0.507 0.698 0.809
N 0.493 0.302 0.191
N 0.302 0.809 0.111
N 0.698 0.191 0.889
Ac 0.000 0.000 0.000
Th 0.500 0.500 0.000
Th 0.000 0.500 0.500
Th 0.500 0.000 0.500

Space group: Im-3, No. 204

---

7.
A plane-wave DFT calculation with PBE was carried out for crystalline Ac4Th3PaN8 at its relaxed geometry.

abc: 7.443 7.570 7.442
angles: 119.44 120.00 90.00
Sites, in units of the cell vectors:
N 0.775 0.299 0.550
N 0.225 0.701 0.976
N 0.736 0.709 0.473
N 0.249 0.299 0.024
N 0.264 0.291 0.527
N 0.225 0.701 0.450
N 0.751 0.701 0.976
N 0.775 0.299 0.024
Th 0.500 0.500 0.500
Th 0.000 0.500 0.500
Th 0.500 0.500 0.000
Ac 0.500 0.000 0.000
Ac 0.000 0.000 0.500
Ac 0.500 0.000 0.500
Ac 0.000 0.000 0.000
Pa 0.000 0.500 0.000

Space group: R-3m, No. 166

---

8.
A plane-wave DFT calculation with PBE was carried out for crystalline AcPaTiN4 at its relaxed geometry.

abc: 5.566 5.669 6.995
angles: 90.00 113.44 90.00
Sites, in units of the cell vectors:
Ti 0.735 0.250 0.470
Ti 0.265 0.750 0.530
N 0.954 0.250 0.908
N 0.046 0.750 0.092
N 0.500 0.000 0.500
N 0.000 0.500 0.500
N 0.000 0.000 0.500
N 0.500 0.500 0.500
N 0.588 0.250 0.175
N 0.412 0.750 0.825
Pa 0.884 0.750 0.768
Pa 0.116 0.250 0.232
Ac 0.395 0.250 0.790
Ac 0.605 0.750 0.210

Space group: Cmcm, No. 63

---

9.
A plane-wave DFT calculation with PBE was carried out for crystalline Ac2UPaN6 at its relaxed geometry.

abc: 6.138 6.125 8.676
angles: 90.00 90.15 90.00
Sites, in units of the cell vectors:
Ac 0.992 0.026 0.750
Ac 0.492 0.474 0.250
Ac 0.508 0.526 0.750
Ac 0.008 0.974 0.250
Pa 0.000 0.500 0.500
Pa 0.500 0.000 0.000
U 0.000 0.500 0.000
U 0.500 0.000 0.500
N 0.215 0.222 0.046
N 0.726 0.287 0.956
N 0.583 0.019 0.256
N 0.226 0.213 0.456
N 0.785 0.778 0.954
N 0.715 0.278 0.546
N 0.285 0.722 0.454
N 0.417 0.981 0.744
N 0.274 0.713 0.044
N 0.917 0.519 0.244
N 0.083 0.481 0.756
N 0.774 0.787 0.544

Space group: P2_1/c, No. 14

---

10.
A plane-wave DFT calculation with PBE was carried out for crystalline Ac4UPa3N8 at its relaxed geometry.

abc: 7.275 7.410 7.275
angles: 119.40 120.00 90.00
Site moments in Bohr magnetons follow the coordinates.
Sites, in units of the cell vectors:
N 0.265 0.316 0.041  -0.01
N 0.728 0.685 0.456  0.00
N 0.224 0.684 0.959  -0.01
N 0.735 0.684 0.959  -0.01
N 0.776 0.316 0.551  -0.01
N 0.224 0.684 0.449  -0.01
N 0.776 0.316 0.041  -0.01
N 0.272 0.315 0.544  0.00
U 0.000 0.500 0.000  0.63
Pa 0.000 0.500 0.500  0.02
Pa 0.500 0.500 0.500  0.02
Pa 0.500 0.500 0.000  0.02
Ac 0.500 0.000 0.000  0.00
Ac 0.500 0.000 0.500  0.00
Ac 0.000 0.000 0.500  0.00
Ac 0.000 0.000 0.000  0.00

Space group: R-3m, No. 166

---

11.
A plane-wave DFT calculation with PBE was carried out for crystalline Ac2UPaN4 at its relaxed geometry.

abc: 3.629 6.280 6.434
angles: 108.89 90.00 90.00
Site moments in Bohr magnetons follow the coordinates.
Sites, in units of the cell vectors:
Ac 0.500 0.000 0.500  -0.01
Ac 0.000 0.500 0.500  0.00
U 0.500 0.500 0.000  0.89
N 0.500 0.766 0.816  -0.01
N 0.500 0.234 0.184  -0.01
N 0.000 0.722 0.183  -0.03
N 0.000 0.278 0.817  -0.03
Pa 0.000 0.000 0.000  0.01

Space group: P2/m, No. 10

---

12.
A plane-wave DFT calculation with PBE was carried out for crystalline AcPaVN4 at its relaxed geometry.

abc: 5.881 5.629 7.117
angles: 90.00 108.22 90.00
Site moments in Bohr magnetons follow the coordinates.
Sites, in units of the cell vectors:
V 0.757 0.250 0.678  0.17
V 0.243 0.750 0.322  0.17
Ac 0.711 0.750 0.926  0.02
Ac 0.289 0.250 0.074  0.02
N 0.443 0.750 0.166  -0.01
N 0.970 0.005 0.705  -0.01
N 0.451 0.750 0.567  -0.01
N 0.030 0.995 0.295  -0.01
N 0.030 0.505 0.295  -0.01
N 0.970 0.495 0.705  -0.01
N 0.557 0.250 0.834  -0.01
N 0.549 0.250 0.433  -0.01
Pa 0.786 0.750 0.450  0.27
Pa 0.214 0.250 0.550  0.27

Space group: P2_1/m, No. 11

---

Number 1: E -8.5468 eV per atom, total moment 0.00 μB per atom. Number 2: E -8.8109 eV per atom, total moment 0.00 μB per atom. Number 3: E -7.4029 eV per atom, total moment 0.00 μB per atom. Number 4: E -7.0462 eV per atom, total moment 0.14 μB per atom. Number 5: E -8.3151 eV per atom, total moment 0.00 μB per atom. Number 6: E -9.7217 eV per atom, total moment 0.00 μB per atom. Number 7: E -8.5629 eV per atom, total moment 0.00 μB per atom. Number 8: E -9.1737 eV per atom, total moment 0.00 μB per atom. Number 9: E -9.2620 eV per atom, total moment 0.00 μB per atom. Number 10: E -9.0519 eV per atom, total moment 0.04 μB per atom. Number 11: E -9.1078 eV per atom, total moment 0.11 μB per atom. Number 12: E -9.2291 eV per atom, total moment 0.07 μB per atom.